Entry 1:
# TaInPO

A relaxed TaInPO crystal (PBE, OQMD).

Summary:
V   16.6 Å³/atom
Energy   -6.7503 eV per atom

Cell lengths 3.6275, 3.6275, 10.1001 Å; angles 90.00, 90.00, 90.00 degrees
Space group P4/nmm (No. 129, origin choice 2)
Asymmetric unit:
1 Ta 0.2500 0.2500 0.1225 (multiplicity 2)
2 In 0.2500 0.7500 0.5000 (multiplicity 2)
3 P 0.2500 0.2500 0.7613 (multiplicity 2)
4 O 0.2500 0.7500 0.0000 (multiplicity 2)

***

Entry 2:
# LiNb2Os

A relaxed LiNb2Os crystal (PBE, OQMD).

Summary:
V   15.6 Å³/atom
Energy   -8.1228 eV per atom

Cell lengths 6.2982, 6.2982, 6.2982 Å; angles 90.00, 90.00, 90.00 degrees
Space group F-43m (No. 216)
Asymmetric unit:
1 Li 0.0000 0.0000 0.0000 (multiplicity 4)
2 Nb 0.0000 0.0000 0.5000 (multiplicity 4)
3 Nb 0.2500 0.2500 0.7500 (multiplicity 4)
4 Os 0.2500 0.2500 0.2500 (multiplicity 4)

***

Entry 3:
# Mg2NbNi

A relaxed Mg2NbNi crystal (PBE, OQMD).

Summary:
V   16.2 Å³/atom
Energy   -4.5332 eV per atom

Cell lengths 6.3776, 6.3776, 6.3776 Å; angles 90.00, 90.00, 90.00 degrees
Space group F-43m (No. 216)
Asymmetric unit:
1 Mg 0.0000 0.0000 0.0000 (multiplicity 4)
2 Mg 0.2500 0.2500 0.2500 (multiplicity 4)
3 Nb 0.2500 0.2500 0.7500 (multiplicity 4)
4 Ni 0.0000 0.0000 0.5000 (multiplicity 4)

***

Entry 4:
# TlCdFeIr

A relaxed TlCdFeIr crystal (PBE, OQMD).

Summary:
V   17.4 Å³/atom
Energy   -4.6228 eV per atom

Cell lengths 6.5271, 6.5271, 6.5271 Å; angles 90.00, 90.00, 90.00 degrees
Space group F-43m (No. 216)
Asymmetric unit:
1 Tl 0.0000 0.0000 0.0000 (multiplicity 4)
2 Cd 0.0000 0.0000 0.5000 (multiplicity 4)
3 Fe 0.2500 0.2500 0.2500 (multiplicity 4)
4 Ir 0.2500 0.2500 0.7500 (multiplicity 4)